Arrangement i

The following is a GGA-PBEsol calculation of a geometry-optimized Pb2CCl2O3 structure, from Alexandria.

Structure (POSCAR):
```
Pb2CCl2O3
1.0
-1.064 5.711 5.776
3.479 -5.654 5.679
8.223 2.708 -1.464
Pb C Cl O
8 4 8 12
direct
0.201 0.694 0.637
0.195 0.174 0.637
0.718 0.832 0.858
0.320 0.699 0.133
0.806 0.829 0.359
0.782 0.353 0.398
0.684 0.274 0.888
0.283 0.177 0.146
0.311 0.449 0.855
0.662 0.546 0.123
0.845 0.563 0.648
0.190 0.449 0.346
0.466 0.223 0.448
0.012 0.201 0.944
0.150 0.947 0.388
0.358 0.954 0.868
0.635 0.039 0.148
0.841 0.066 0.609
0.543 0.751 0.588
0.975 0.761 0.092
0.733 0.421 0.099
0.267 0.576 0.906
0.104 0.341 0.417
0.754 0.437 0.662
0.884 0.643 0.761
0.592 0.627 0.014
0.237 0.432 0.207
0.230 0.579 0.400
0.391 0.347 0.934
0.905 0.600 0.513
0.654 0.586 0.263
0.273 0.430 0.712
```

=====

Arrangement ii

The following is a GGA-PBEsol calculation of a geometry-optimized Pb2CCl2O3 structure, from Alexandria.

Structure (POSCAR):
```
Pb2CCl2O3
1.0
8.067 0.000 0.000
0.000 8.067 0.000
0.000 0.000 8.859
C Cl O Pb
4 8 12 8
direct
0.321 0.821 0.000
0.679 0.179 0.000
0.179 0.321 0.000
0.821 0.679 0.000
0.000 0.000 0.248
0.500 0.500 0.752
0.000 0.000 0.752
0.500 0.500 0.248
0.354 0.854 0.500
0.646 0.146 0.500
0.146 0.354 0.500
0.854 0.646 0.500
0.207 0.707 0.000
0.793 0.293 0.000
0.293 0.207 0.000
0.707 0.793 0.000
0.372 0.872 0.130
0.628 0.128 0.130
0.128 0.372 0.130
0.872 0.628 0.130
0.128 0.372 0.870
0.872 0.628 0.870
0.372 0.872 0.870
0.628 0.128 0.870
0.165 0.665 0.262
0.835 0.335 0.262
0.335 0.165 0.262
0.665 0.835 0.262
0.335 0.165 0.738
0.665 0.835 0.738
0.165 0.665 0.738
0.835 0.335 0.738
```

=====

Most stable structure, least stable structure: arrangement ii, arrangement i.

=====

Arrangement i

The following is a GGA-PBEsol calculation of a geometry-optimized OsC2Cl structure, from Alexandria.

Structure (POSCAR):
```
OsC2Cl
1.0
6.028 0.000 0.000
3.014 5.221 0.000
3.014 1.740 4.922
C Os Cl
4 2 2
direct
0.625 0.625 0.625
0.625 0.625 0.125
0.625 0.125 0.625
0.125 0.625 0.625
0.750 0.750 0.750
0.500 0.500 0.500
0.250 0.250 0.250
0.000 0.000 0.000
```

=====

Arrangement ii

The following is a GGA-PBEsol calculation of a geometry-optimized OsC2Cl structure, from Alexandria.

Structure (POSCAR):
```
OsC2Cl
1.0
-1.604 2.940 -1.903
-3.290 -0.524 -1.933
-3.266 1.579 1.295
C Os Cl
2 1 1
direct
0.250 0.250 0.250
0.750 0.750 0.750
0.500 0.500 0.500
0.000 0.000 0.000
```

=====

Most stable structure, least stable structure: arrangement i, arrangement ii.

=====

Arrangement i

The following is a GGA-PBEsol calculation of a geometry-optimized RhCCl2 structure, from Alexandria.

Structure (POSCAR):
```
RhCCl2
1.0
-2.671 -0.870 -3.206
1.388 -2.157 -3.405
-1.303 -4.004 -0.662
C Rh Cl
1 1 2
direct
0.000 0.000 0.000
0.500 0.500 0.500
0.250 0.250 0.250
0.750 0.750 0.750
```

=====

Arrangement ii

The following is a GGA-PBEsol calculation of a geometry-optimized RhCCl2 structure, from Alexandria.

Structure (POSCAR):
```
RhCCl2
1.0
-3.546 0.350 3.991
2.656 -4.643 -0.106
3.601 3.892 0.709
C Rh Cl
2 2 4
direct
0.500 0.500 0.000
0.750 0.250 0.500
0.000 0.000 0.000
0.250 0.750 0.500
0.872 0.875 0.497
0.378 0.375 0.503
0.125 0.622 0.997
0.625 0.128 0.003
```

=====

Most stable structure, least stable structure: arrangement ii, arrangement i.

=====

Arrangement i

The following is a GGA-PBEsol calculation of a geometry-optimized Co2C structure, from Alexandria.

Structure (POSCAR):
```
Co2C
1.0
-1.972 -0.729 1.183
-1.148 -0.304 -2.100
4.400 -7.744 0.101
C Co
2 4
direct
0.250 0.750 0.500
0.000 0.000 0.000
0.814 0.314 0.629
0.436 0.436 0.871
0.686 0.186 0.371
0.564 0.564 0.129
```

=====

Arrangement ii

The following is a GGA-PBEsol calculation of a geometry-optimized Co2C structure, from Alexandria.

Structure (POSCAR):
```
Co2C
1.0
-2.072 -2.312 -1.087
2.192 0.207 -4.619
1.775 -3.250 3.531
C Co
3 6
direct
0.000 0.667 0.333
0.000 0.333 0.667
0.500 0.000 0.000
0.000 0.724 0.724
0.000 0.000 0.276
0.000 0.276 0.000
0.500 0.385 0.385
0.500 0.000 0.615
0.500 0.615 0.000
```

=====

Most stable structure, least stable structure: arrangement ii, arrangement i.

=====

Arrangement i

The following is a GGA-PBEsol calculation of a geometry-optimized CoC2 structure, from Alexandria.

Structure (POSCAR):
```
CoC2
1.0
4.435 0.000 0.000
0.000 4.589 0.000
0.000 -2.294 3.974
C Co
6 3
direct
0.265 0.689 0.000
0.265 0.311 0.311
0.265 0.000 0.689
0.735 0.000 0.311
0.735 0.689 0.689
0.735 0.311 0.000
0.000 0.000 0.000
0.500 0.667 0.333
0.500 0.333 0.667
```

=====

Arrangement ii

The following is a GGA-PBEsol calculation of a geometry-optimized CoC2 structure, from Alexandria.

Structure (POSCAR):
```
CoC2
1.0
2.661 0.000 0.000
-1.331 3.843 0.016
0.000 -0.940 4.520
C Co
4 2
direct
0.909 0.818 0.470
0.591 0.182 0.031
0.409 0.818 0.969
0.091 0.182 0.530
0.250 0.500 0.250
0.750 0.500 0.750
```

=====

Most stable structure, least stable structure: arrangement ii, arrangement i.

=====

Arrangement i

The following is a GGA-PBEsol calculation of a geometry-optimized Li2CoH8C2O10 structure, from Alexandria.

Structure (POSCAR):
```
Li2CoH8C2O10
1.0
5.347 0.085 0.116
1.176 5.216 0.116
2.087 1.696 13.712
Li Co H C O
4 2 16 4 20
direct
0.408 0.747 0.043
0.253 0.592 0.457
0.747 0.408 0.543
0.592 0.253 0.957
0.048 0.952 0.250
0.952 0.048 0.750
0.771 0.848 0.443
0.875 0.812 0.051
0.848 0.771 0.943
0.812 0.875 0.551
0.791 0.467 0.367
0.467 0.791 0.867
0.747 0.372 0.114
0.628 0.253 0.386
0.372 0.747 0.614
0.253 0.628 0.886
0.533 0.209 0.133
0.209 0.533 0.633
0.188 0.125 0.449
0.152 0.229 0.057
0.125 0.188 0.949
0.229 0.152 0.557
0.479 0.954 0.297
0.954 0.479 0.797
0.046 0.521 0.203
0.521 0.046 0.703
0.853 0.754 0.501
0.682 0.988 0.327
0.754 0.853 0.001
0.988 0.682 0.827
0.467 0.947 0.206
0.270 0.931 0.359
0.947 0.467 0.706
0.638 0.412 0.411
0.931 0.270 0.859
0.412 0.638 0.911
0.588 0.362 0.089
0.069 0.730 0.141
0.362 0.588 0.589
0.053 0.533 0.294
0.730 0.069 0.641
0.533 0.053 0.794
0.012 0.318 0.173
0.246 0.147 0.999
0.318 0.012 0.673
0.147 0.246 0.499
```

=====

Arrangement ii

The following is a GGA-PBEsol calculation of a geometry-optimized Li2CoH8C2O10 structure, from Alexandria.

Structure (POSCAR):
```
Li2CoH8C2O10
1.0
5.714 0.000 0.000
0.000 5.864 0.076
0.000 1.640 11.355
Li Co H C O
4 2 16 4 20
direct
0.748 0.596 0.145
0.248 0.904 0.355
0.752 0.096 0.645
0.252 0.404 0.855
0.000 0.000 0.000
0.500 0.500 0.500
0.339 0.267 0.067
0.323 0.745 0.009
0.097 0.360 0.099
0.195 0.678 0.138
0.597 0.140 0.401
0.695 0.822 0.362
0.839 0.233 0.433
0.823 0.755 0.491
0.177 0.245 0.509
0.161 0.767 0.567
0.305 0.178 0.638
0.403 0.860 0.599
0.805 0.322 0.862
0.903 0.640 0.901
0.677 0.255 0.991
0.661 0.733 0.933
0.645 0.081 0.186
0.145 0.419 0.314
0.855 0.581 0.686
0.355 0.919 0.814
0.177 0.296 0.033
0.599 0.280 0.123
0.270 0.807 0.082
0.792 0.941 0.151
0.041 0.477 0.213
0.541 0.023 0.287
0.292 0.559 0.349
0.099 0.220 0.377
0.677 0.204 0.467
0.770 0.693 0.418
0.230 0.307 0.582
0.323 0.796 0.533
0.901 0.780 0.623
0.708 0.441 0.651
0.459 0.977 0.713
0.959 0.523 0.787
0.208 0.059 0.849
0.730 0.193 0.918
0.401 0.720 0.877
0.823 0.704 0.967
```

=====

Most stable structure, least stable structure: arrangement i, arrangement ii.

=====

Arrangement i

The following is a GGA-PBEsol calculation of a geometry-optimized CoCI2 structure, from Alexandria.

Structure (POSCAR):
```
CoCI2
1.0
-4.412 -1.302 -3.078
3.320 -1.118 -4.285
0.942 -4.185 5.396
I C Co
4 2 2
direct
0.370 0.875 0.250
0.880 0.375 0.250
0.125 0.120 0.750
0.625 0.630 0.750
0.750 0.250 0.500
0.500 0.500 0.000
0.250 0.750 0.500
0.000 0.000 0.000
```

=====

Arrangement ii

The following is a GGA-PBEsol calculation of a geometry-optimized CoCI2 structure, from Alexandria.

Structure (POSCAR):
```
CoCI2
1.0
-2.810 -3.597 -0.847
0.009 -2.019 -4.180
1.773 -4.260 -0.516
I C Co
2 1 1
direct
0.250 0.250 0.250
0.750 0.750 0.750
0.000 0.000 0.000
0.500 0.500 0.500
```

=====

Most stable structure, least stable structure: arrangement i, arrangement ii.

=====

Arrangement i

The following is a GGA-PBEsol calculation of a geometry-optimized KCoC2 structure, from Alexandria.

Structure (POSCAR):
```
KCoC2
1.0
-1.247 0.972 3.633
-2.877 -2.100 1.735
0.842 -2.348 3.078
K Co C
1 1 2
direct
0.000 0.000 0.000
0.500 0.500 0.500
0.250 0.250 0.250
0.750 0.750 0.750
```

=====

Arrangement ii

The following is a GGA-PBEsol calculation of a geometry-optimized KCoC2 structure, from Alexandria.

Structure (POSCAR):
```
KCoC2
1.0
-0.717 5.181 0.721
-1.041 -3.471 4.575
3.619 -0.035 3.844
K Co C
2 2 4
direct
0.500 0.000 0.500
0.250 0.500 0.250
0.000 0.000 0.000
0.750 0.500 0.750
0.375 0.250 0.875
0.875 0.250 0.875
0.875 0.750 0.375
0.875 0.750 0.875
```

=====

Most stable structure, least stable structure: arrangement ii, arrangement i.